1.
Compound: Dy2TmZrSc4
Source: the Alexandria database
Functional: GGA-PBE
Structure: optimized geometry

symmetry	Pmmm

a = 4.7633 Å, b = 4.7783 Å, c = 9.2747 Å
α = 90.00°, β = 90.00°, γ = 90.00°
Sites, in units of the cell vectors:
Dy (0.0000, 0.0000, 0.0000)
Dy (0.5000, 0.5000, 0.5000)
Tm (0.0000, 0.0000, 0.5000)
Zr (0.5000, 0.5000, 0.0000)
Sc (0.0000, 0.5000, 0.2395)
Sc (0.0000, 0.5000, 0.7605)
Sc (0.5000, 0.0000, 0.2397)
Sc (0.5000, 0.0000, 0.7603)



2.
Compound: DyTmZrSc
Source: the Alexandria database
Functional: GGA-PBE
Structure: optimized geometry

E above lowest polymorph	10.7	kJ per mole of atoms
symmetry	F-43m

a = 7.5506 Å, b = 7.5506 Å, c = 7.5506 Å
α = 90.00°, β = 90.00°, γ = 90.00°
Sites, in units of the cell vectors:
Dy (0.0000, 0.0000, 0.0000)
Dy (0.0000, 0.5000, 0.5000)
Dy (0.5000, 0.0000, 0.5000)
Dy (0.5000, 0.5000, 0.0000)
Tm (0.2500, 0.2500, 0.2500)
Tm (0.2500, 0.7500, 0.7500)
Tm (0.7500, 0.2500, 0.7500)
Tm (0.7500, 0.7500, 0.2500)
Zr (0.0000, 0.0000, 0.5000)
Zr (0.0000, 0.5000, 0.0000)
Zr (0.5000, 0.0000, 0.0000)
Zr (0.5000, 0.5000, 0.5000)
Sc (0.2500, 0.2500, 0.7500)
Sc (0.2500, 0.7500, 0.2500)
Sc (0.7500, 0.2500, 0.2500)
Sc (0.7500, 0.7500, 0.7500)



3.
Compound: DyScU
Source: the Alexandria database
Functional: GGA-PBE
Structure: optimized geometry

symmetry	Pnma

a = 11.6367 Å, b = 3.5039 Å, c = 8.0478 Å
α = 90.00°, β = 90.00°, γ = 90.00°
Sites, in units of the cell vectors:
Dy (0.1811, 0.2500, 0.2234)
Dy (0.3189, 0.7500, 0.7234)
Dy (0.6811, 0.2500, 0.2766)
Dy (0.8189, 0.7500, 0.7766)
Sc (0.0744, 0.2500, 0.8452)
Sc (0.4256, 0.7500, 0.3452)
Sc (0.5744, 0.2500, 0.6548)
Sc (0.9256, 0.7500, 0.1548)
U (0.0740, 0.7500, 0.5224)
U (0.4260, 0.2500, 0.0224)
U (0.5740, 0.7500, 0.9776)
U (0.9260, 0.2500, 0.4776)



4.
Compound: DyScV4
Source: the Alexandria database
Functional: GGA-PBE
Structure: optimized geometry

symmetry	F-43m

a = 5.3043 Å, b = 5.3043 Å, c = 5.3043 Å
α = 60.00°, β = 60.00°, γ = 60.00°
Sites, in units of the cell vectors:
Dy (0.0000, 0.0000, 0.0000)
Sc (0.7500, 0.7500, 0.7500)
V (0.3727, 0.3727, 0.3727)
V (0.3727, 0.3727, 0.8818)
V (0.3727, 0.8818, 0.3727)
V (0.8818, 0.3727, 0.3727)



Computed values of DOS at the Fermi energy (unit: states/eV/f.u.) for the preceding records, in sequence: 12.32, 8.54, 6.14, 16.53.
Computed values of spin magnetization (unit: μB per cell) for the preceding records, in sequence: 0.00, 6.58, 4.23, 0.00.
Computed values of energy relative to the elements (unit: eV per formula unit) for the preceding records, in sequence: 0.43, 0.73, 0.92, 1.81.